The following is a SCAN calculation of a crystal of SrTlTc2 relaxed with PBEsol, from Alexandria.

Crystal system   tetragonal
ΔE to the lowest computed polymorph   0 meV/atom

```
SrTlTc2
1.0
4.1490 0.0000 0.0000
0.0000 4.1490 0.0000
0.0000 0.0000 4.5248
Sr Tl Tc
1 1 2
Direct
0.0000 0.0000 0.0000
0.5000 0.5000 0.0000
0.0000 0.5000 0.5000
0.5000 0.0000 0.5000
```

=====

The following is a SCAN calculation of a crystal of SrTl2Tc2 relaxed with PBEsol, from Alexandria.

Crystal system   tetragonal

```
SrTl2Tc2
1.0
-1.7765 1.7765 9.0958
1.7765 -1.7765 9.0958
1.7765 1.7765 -9.0958
Sr Tl Tc
1 2 2
Direct
0.0000 0.0000 0.0000
0.3759 0.3759 0.0000
0.6241 0.6241 0.0000
0.2500 0.7500 0.5000
0.7500 0.2500 0.5000
```

=====

The following is a SCAN calculation of a crystal of SrTlTc2 relaxed with PBEsol, from Alexandria.

Crystal system   trigonal
ΔE to the lowest computed polymorph   150 meV/atom

```
SrTlTc2
1.0
1.5244 0.8801 9.6638
-1.5244 0.8801 9.6638
0.0000 -1.7603 9.6638
Sr Tl Tc
1 1 2
Direct
0.0000 0.0000 0.0000
0.5000 0.5000 0.5000
0.2429 0.2429 0.2429
0.7571 0.7571 0.7571
```

=====

The following is a SCAN calculation of a crystal of Sr2TcW relaxed with PBEsol, from Alexandria.

Crystal system   cubic

```
Sr2TcW
1.0
0.0000 3.5145 3.5145
3.5145 0.0000 3.5145
3.5145 3.5145 0.0000
Sr Tc W
2 1 1
Direct
0.0000 0.0000 0.0000
0.2500 0.2500 0.2500
0.7500 0.7500 0.7500
0.5000 0.5000 0.5000
```

=====

Per-record total moment, μB/f.u.: 0.00 0.00 0.01 0.00
Per-record E_form, eV/atom: 1.046 0.216 1.197 1.343
Per-record DOS at the Fermi energy, states/eV per cell: 4.6 2.8 4.2 4.0